(1)
# HfAl4Ga, relaxed, DFT GGA-PBE
data_HfAl4Ga
_cell_length_a 4.323
_cell_length_b 9.998
_cell_length_c 9.680
_cell_angle_alpha 90.00
_cell_angle_beta 90.00
_cell_angle_gamma 90.00
_symmetry_space_group_name_H-M 'C m c 21'
_symmetry_Int_Tables_number 36
loop_
_symmetry_equiv_pos_as_xyz
'x,y,z'
'-x,-y,z+1/2'
'-x,y,z'
'x,-y,z+1/2'
'x+1/2,y+1/2,z'
'-x+1/2,-y+1/2,z+1/2'
'-x+1/2,y+1/2,z'
'x+1/2,-y+1/2,z+1/2'
loop_
_atom_site_label
_atom_site_fract_x
_atom_site_fract_y
_atom_site_fract_z
_atom_site_occupancy
Hf1 0.000 0.164 0.000 1
Al1 0.000 0.003 0.741 1
Al2 0.000 0.142 0.472 1
Al3 0.000 0.310 0.728 1
Al4 0.000 0.473 0.052 1
Ga1 0.000 0.344 0.293 1
# Energy above the lowest structure with this stoichiometry   0.000 eV/atom
# Total DFT energy (no corrections)   -4.819 eV per atom

---

(2)
# La6Pm2In, relaxed, DFT GGA-PBE
data_La6Pm2In
_cell_length_a 21.292
_cell_length_b 9.403
_cell_length_c 6.505
_cell_angle_alpha 90.00
_cell_angle_beta 107.75
_cell_angle_gamma 90.00
_symmetry_space_group_name_H-M 'C 1 2/c 1'
_symmetry_Int_Tables_number 15
loop_
_symmetry_equiv_pos_as_xyz
'x,y,z'
'-x,-y,-z'
'-x,y,-z+1/2'
'x,-y,z+1/2'
'x+1/2,y+1/2,z'
'-x+1/2,-y+1/2,-z'
'-x+1/2,y+1/2,-z+1/2'
'x+1/2,-y+1/2,z+1/2'
loop_
_atom_site_label
_atom_site_fract_x
_atom_site_fract_y
_atom_site_fract_z
_atom_site_occupancy
La1 0.077 0.072 0.218 1
La2 0.077 0.427 0.434 1
La3 0.168 0.251 0.918 1
Pm1 0.250 0.076 0.589 1
In1 0.000 0.251 0.750 1
# Energy above the lowest structure with this stoichiometry   0.030 eV/atom
# Total DFT energy (no corrections)   -4.719 eV per atom

---

(3)
# Co2TcIr, relaxed, DFT GGA-PBE
data_Co2TcIr
_cell_length_a 5.954
_cell_length_b 5.954
_cell_length_c 5.954
_cell_angle_alpha 90.00
_cell_angle_beta 90.00
_cell_angle_gamma 90.00
_symmetry_space_group_name_H-M 'F -4 3 m'
_symmetry_Int_Tables_number 216
_symmetry_space_group_name_Hall 'F -4 2 3'
loop_
_atom_site_label
_atom_site_fract_x
_atom_site_fract_y
_atom_site_fract_z
_atom_site_occupancy
Co1 0.000 0.000 0.000 1
Co2 0.250 0.250 0.250 1
Tc1 0.000 0.000 0.500 1
Ir1 0.250 0.250 0.750 1
# Energy above the lowest structure with this stoichiometry   0.283 eV/atom
# Total DFT energy (no corrections)   -8.095 eV per atom

---

(4)
# NiSbPd14, relaxed, DFT GGA-PBE
data_NiSbPd14
_cell_length_a 9.151
_cell_length_b 5.629
_cell_length_c 9.633
_cell_angle_alpha 90.00
_cell_angle_beta 90.00
_cell_angle_gamma 90.00
_symmetry_space_group_name_H-M 'A m m 2'
_symmetry_Int_Tables_number 38
loop_
_symmetry_equiv_pos_as_xyz
'x,y,z'
'-x,-y,z'
'-x,y,z'
'x,-y,z'
'x,y+1/2,z+1/2'
'-x,-y+1/2,z+1/2'
'-x,y+1/2,z+1/2'
'x,-y+1/2,z+1/2'
loop_
_atom_site_label
_atom_site_fract_x
_atom_site_fract_y
_atom_site_fract_z
_atom_site_occupancy
Ni1 0.000 0.000 0.000 1
Sb1 0.000 0.000 0.501 1
Pd1 0.000 0.250 0.255 1
Pd2 0.244 0.248 0.078 1
Pd3 0.249 0.000 0.831 1
Pd4 0.253 0.000 0.328 1
Pd5 0.500 0.000 0.158 1
Pd6 0.500 0.000 0.659 1
Pd7 0.500 0.249 0.909 1
# Energy relative to the elements, uncorrected   -8.17 kJ/mol of atoms
# Total DFT energy (no corrections)   -5.247 eV per atom

---

(5)
# Y3Pd8, relaxed, DFT GGA-PBE
data_Y3Pd8
_cell_length_a 9.3487
_cell_length_b 9.3487
_cell_length_c 9.2581
_cell_angle_alpha 90.00
_cell_angle_beta 90.00
_cell_angle_gamma 120.00
_symmetry_space_group_name_H-M 'R -3'
_symmetry_Int_Tables_number 148
_symmetry_space_group_name_Hall '-R 3'
loop_
_atom_site_label
_atom_site_fract_x
_atom_site_fract_y
_atom_site_fract_z
_atom_site_occupancy
Y1 0.0000 0.5000 0.0000 1
Pd1 0.0000 0.0000 0.3599 1
Pd2 0.0509 0.8536 0.8853 1
# Total DFT energy (no corrections)   -5.952 eV per atom

---

(6)
# GaPt3Se, relaxed, DFT GGA-PBE
data_GaPt3Se
_cell_length_a 4.747
_cell_length_b 4.747
_cell_length_c 4.747
_cell_angle_alpha 90.00
_cell_angle_beta 90.00
_cell_angle_gamma 90.00
_symmetry_space_group_name_H-M 'P m -3 m'
_symmetry_Int_Tables_number 221
_symmetry_space_group_name_Hall '-P 4 2 3'
loop_
_atom_site_label
_atom_site_fract_x
_atom_site_fract_y
_atom_site_fract_z
_atom_site_occupancy
Ga1 0.000 0.000 0.000 1
Pt1 0.000 0.500 0.500 1
Se1 0.500 0.500 0.500 1
# Energy above the lowest structure with this stoichiometry   0.000 eV/atom
# Energy relative to the elements, uncorrected   50.56 kJ/mol of atoms
# Total DFT energy (no corrections)   -4.403 eV per atom

---

(7)
# ScTiCuRh, relaxed, DFT GGA-PBE
data_ScTiCuRh
_cell_length_a 6.347
_cell_length_b 6.347
_cell_length_c 6.347
_cell_angle_alpha 90.00
_cell_angle_beta 90.00
_cell_angle_gamma 90.00
_symmetry_space_group_name_H-M 'F -4 3 m'
_symmetry_Int_Tables_number 216
_symmetry_space_group_name_Hall 'F -4 2 3'
loop_
_atom_site_label
_atom_site_fract_x
_atom_site_fract_y
_atom_site_fract_z
_atom_site_occupancy
Sc1 0.000 0.000 0.000 1
Ti1 0.000 0.000 0.500 1
Cu1 0.250 0.250 0.250 1
Rh1 0.250 0.250 0.750 1
# Total DFT energy (no corrections)   -6.911 eV per atom

---

(8)
# Sm2TlZn, relaxed, DFT GGA-PBE
data_Sm2TlZn
_cell_length_a 3.733
_cell_length_b 3.733
_cell_length_c 7.616
_cell_angle_alpha 90.00
_cell_angle_beta 90.00
_cell_angle_gamma 90.00
_symmetry_space_group_name_H-M 'P 4/m m m'
_symmetry_Int_Tables_number 123
_symmetry_space_group_name_Hall '-P 4 2'
loop_
_atom_site_label
_atom_site_fract_x
_atom_site_fract_y
_atom_site_fract_z
_atom_site_occupancy
Sm1 0.000 0.000 0.228 1
Tl1 0.500 0.500 0.500 1
Zn1 0.500 0.500 0.000 1
# Energy above the lowest structure with this stoichiometry   0.000 eV/atom
# Total DFT energy (no corrections)   -3.623 eV per atom

---

(9)
# Tl2Fe3S4, relaxed, DFT GGA-PBE
data_Tl2Fe3S4
_cell_length_a 5.161
_cell_length_b 10.527
_cell_length_c 13.224
_cell_angle_alpha 90.00
_cell_angle_beta 90.00
_cell_angle_gamma 90.00
_symmetry_space_group_name_H-M 'I b a m'
_symmetry_Int_Tables_number 72
_symmetry_space_group_name_Hall '-I 2 2c'
loop_
_atom_site_label
_atom_site_fract_x
_atom_site_fract_y
_atom_site_fract_z
_atom_site_occupancy
Tl1 0.245 0.129 0.000 1
Fe1 0.000 0.251 0.250 1
Fe2 0.000 0.500 0.250 1
S1 0.250 0.130 0.340 1
# Energy relative to the elements, uncorrected   -36.78 kJ/mol of atoms
# Total DFT energy (no corrections)   -5.562 eV per atom

---

(10)
# CsNaNp4N8, relaxed, DFT GGA-PBE
data_CsNaNp4N8
_cell_length_a 6.9358
_cell_length_b 6.9358
_cell_length_c 21.6703
_cell_angle_alpha 90.00
_cell_angle_beta 90.00
_cell_angle_gamma 120.00
_symmetry_space_group_name_H-M 'R 3 m'
_symmetry_Int_Tables_number 160
_symmetry_space_group_name_Hall 'R 3 -2"'
loop_
_atom_site_label
_atom_site_fract_x
_atom_site_fract_y
_atom_site_fract_z
_atom_site_occupancy
Cs1 0.0000 0.0000 0.0000 1
Na1 0.0000 0.0000 0.3865 1
Np1 0.0000 0.0000 0.8309 1
Np2 0.1671 0.3341 0.1791 1
N1 0.0000 0.0000 0.1377 1
N2 0.0000 0.0000 0.5532 1
N3 0.0118 0.5059 0.5493 1
N4 0.0171 0.5086 0.1297 1
# Energy relative to the elements, uncorrected   -75.54 kJ/mol of atoms
# Total DFT energy (no corrections)   -9.393 eV per atom

---

(11)
# KSi2Ag, relaxed, DFT GGA-PBE
data_KSi2Ag
_cell_length_a 4.175
_cell_length_b 3.691
_cell_length_c 7.048
_cell_angle_alpha 90.00
_cell_angle_beta 106.27
_cell_angle_gamma 90.00
_symmetry_space_group_name_H-M 'P 1 m 1'
_symmetry_Int_Tables_number 6
loop_
_symmetry_equiv_pos_as_xyz
'x,y,z'
'x,-y,z'
loop_
_atom_site_label
_atom_site_fract_x
_atom_site_fract_y
_atom_site_fract_z
_atom_site_occupancy
K1 0.000 0.000 0.000 1
Si1 0.264 0.000 0.495 1
Si2 0.367 0.500 0.718 1
Ag1 0.756 0.500 0.481 1
# Energy above the lowest structure with this stoichiometry   0.035 eV/atom
# Energy relative to the elements, uncorrected   18.54 kJ/mol of atoms
# Total DFT energy (no corrections)   -3.507 eV per atom

---

(12)
# ZrAs3Cl, relaxed, DFT GGA-PBE
data_ZrAs3Cl
_cell_length_a 4.773
_cell_length_b 4.773
_cell_length_c 4.773
_cell_angle_alpha 90.00
_cell_angle_beta 90.00
_cell_angle_gamma 90.00
_symmetry_space_group_name_H-M 'P m -3 m'
_symmetry_Int_Tables_number 221
_symmetry_space_group_name_Hall '-P 4 2 3'
loop_
_atom_site_label
_atom_site_fract_x
_atom_site_fract_y
_atom_site_fract_z
_atom_site_occupancy
Zr1 0.000 0.000 0.000 1
As1 0.000 0.500 0.500 1
Cl1 0.500 0.500 0.500 1
# Energy above the lowest structure with this stoichiometry   0.479 eV/atom
# Energy relative to the elements, uncorrected   63.35 kJ/mol of atoms
# Total DFT energy (no corrections)   -4.212 eV per atom